# 1
A relaxed structure of BaCeBeO4. Source: the Alexandria database, functional GGA-PBE.

```
BaCeBeO4
1.0
5.3468 0.0000 0.0000
0.0000 5.5033 0.0000
-2.3188 0.0000 6.8703
Ba Ce Be O
2 2 2 8
direct
0.2166 0.2500 0.4265 Ba
0.7834 0.7500 0.5735 Ba
0.2709 0.2500 0.9523 Ce
0.7291 0.7500 0.0477 Ce
0.2759 0.7500 0.1761 Be
0.7241 0.2500 0.8239 Be
0.0762 0.7500 0.9480 O
0.0875 0.7500 0.3194 O
0.4773 0.5159 0.2034 O
0.4773 0.9841 0.2034 O
0.5227 0.0159 0.7966 O
0.5227 0.4841 0.7966 O
0.9125 0.2500 0.6806 O
0.9238 0.2500 0.0520 O
```

Formation energy (no corrections) ... -20.68 eV/f.u.
DOS(E_F) ... 0.00 states/eV/cell
Calculated density ... 5.8 g cm⁻³

=====

# 2
A relaxed structure of TbSm2Ho12. Source: the Alexandria database, functional GGA-PBE.

```
TbSm2Ho12
1.0
3.5330 0.0000 0.0000
0.0000 5.5731 0.0000
-1.7450 0.0000 24.2549
Tb Sm Ho
1 2 12
direct
0.0000 0.0000 0.0000 Tb
0.3643 0.0000 0.7279 Sm
0.6357 0.0000 0.2721 Sm
0.0680 0.0000 0.1362 Ho
0.0998 0.5000 0.2006 Ho
0.1654 0.5000 0.3308 Ho
0.2156 0.0000 0.4277 Ho
0.2759 0.5000 0.5548 Ho
0.4631 0.5000 0.9261 Ho
0.5369 0.5000 0.0739 Ho
0.7241 0.5000 0.4452 Ho
0.7844 0.0000 0.5723 Ho
0.8346 0.5000 0.6692 Ho
0.9002 0.5000 0.7994 Ho
0.9320 0.0000 0.8638 Ho
```

DOS(E_F) ... 23.05 states/eV/cell
Calculated density ... 8.5 g cm⁻³
Total energy ... -4.4849 eV per atom

=====

# 3
A relaxed structure of AcPmPb2. Source: the Alexandria database, functional GGA-PBE.

```
AcPmPb2
1.0
3.7015 0.0000 0.0000
0.0000 7.4624 0.0000
0.0000 0.0000 10.2437
Ac Pm Pb
2 2 4
direct
0.0000 0.0000 0.0000 Ac
0.0000 0.5000 0.5000 Ac
0.5000 0.0000 0.5425 Pm
0.5000 0.5000 0.0425 Pm
0.5000 0.2187 0.2718 Pb
0.5000 0.2813 0.7718 Pb
0.5000 0.7187 0.7718 Pb
0.5000 0.7813 0.2718 Pb
```

DOS(E_F) ... 7.11 states/eV/cell
Calculated density ... 9.2 g cm⁻³
Total energy ... -4.3968 eV per atom